1.
AlMoAs2 | Alexandria | PBE | relaxed; DFT formation energy = -0.10 eV per atom; D(E_F) = 1.945 states/eV/cell
1.0
4.688 -1.691 0.000
4.688 1.691 0.000
-0.005 0.000 4.282
Al Mo As
1 1 2
direct
0.000 0.000 0.000 Al
0.835 0.835 0.487 Mo
0.265 0.265 0.010 As
0.547 0.547 0.522 As


2.
KTaGe2 | Alexandria | PBE | relaxed; DFT formation energy = 0.69 eV per atom; D(E_F) = 3.342 states/eV/cell; energy relative to the lowest polymorph listed for this composition = 279 meV per atom
1.0
0.000 3.455 3.455
3.455 0.000 3.455
3.455 3.455 0.000
K Ta Ge
1 1 2
direct
0.000 0.000 0.000 K
0.500 0.500 0.500 Ta
0.250 0.250 0.250 Ge
0.750 0.750 0.750 Ge


3.
MnCd2SiIr | Alexandria | PBE | relaxed; D(E_F) = 3.822 states/eV/cell; uncorrected formation energy = 892 meV per atom
1.0
5.150 0.000 0.000
0.000 5.150 0.000
0.000 0.000 4.757
Mn Cd Si Ir
1 2 1 1
direct
0.000 0.000 0.000 Mn
0.000 0.500 0.500 Cd
0.500 0.000 0.500 Cd
0.500 0.500 0.000 Si
0.000 0.000 0.500 Ir